Arrangement a

LiNdW2O8 (PBE+U, relaxed); symmetry = I-4, No. 82; N(E_F) = 0.00 states/eV per atom
1.0
-2.665 2.665 5.692
2.665 -2.665 5.692
2.665 2.665 -5.692
Li Nd W O
1 1 2 8
Direct
0.000 0.000 0.000 Li
0.750 0.250 0.500 Nd
0.250 0.750 0.500 W
0.500 0.500 0.000 W
0.006 0.907 0.586 O
0.093 0.679 0.100 O
0.172 0.255 0.605 O
0.321 0.420 0.414 O
0.433 0.828 0.084 O
0.580 0.994 0.900 O
0.650 0.567 0.395 O
0.745 0.350 0.916 O

---

Arrangement b

LiNdW2O8 (PBE+U, relaxed); symmetry = P-1, No. 2; N(E_F) = 0.00 states/eV per atom
1.0
7.181 0.000 0.000
-0.145 7.466 0.000
-3.286 -3.111 6.061
Li Nd W O
2 2 4 16
Direct
0.241 0.334 0.493 Li
0.759 0.666 0.507 Li
0.314 0.711 0.035 Nd
0.686 0.289 0.965 Nd
0.148 0.103 0.784 W
0.242 0.708 0.469 W
0.758 0.292 0.531 W
0.852 0.897 0.216 W
0.019 0.172 0.493 O
0.056 0.462 0.254 O
0.114 0.824 0.237 O
0.207 0.005 0.978 O
0.318 0.639 0.694 O
0.324 0.358 0.938 O
0.366 0.010 0.698 O
0.461 0.693 0.405 O
0.539 0.307 0.595 O
0.634 0.990 0.302 O
0.676 0.642 0.062 O
0.682 0.361 0.306 O
0.793 0.995 0.022 O
0.886 0.176 0.763 O
0.944 0.538 0.746 O
0.981 0.828 0.507 O

---

Best to worst by energy: arrangement b, arrangement a.